PBE-GGA CeNd8Y6, optimized geometry; SG = No. 148; ΔH_f (0 K) = 0.118 eV per atom
1.0
-6.5452 5.7387 -1.1706
-5.8204 -1.8238 -6.3198
-8.0151 -2.5146 2.5649
Y Nd Ce
6 8 1
direct
0.0949 0.5378 0.2481
0.4622 0.7519 0.9051
0.9051 0.4622 0.7519
0.5378 0.2481 0.0949
0.2481 0.0949 0.5378
0.7519 0.9051 0.4622
0.4224 0.4224 0.4224
0.1153 0.7140 0.7588
0.2860 0.2412 0.8847
0.7588 0.1153 0.7140
0.8847 0.2860 0.2412
0.5776 0.5776 0.5776
0.2412 0.8847 0.2860
0.7140 0.7588 0.1153
0.0000 0.0000 0.0000


PBE-GGA CeNdY2, optimized geometry; SG = No. 123; ΔH_f (0 K) = 0.067 eV per atom
1.0
-2.5293 -1.4281 2.0899
-1.6926 -1.2426 -2.8975
5.3249 -8.5910 0.5737
Ce Nd Y
1 1 2
direct
0.5000 0.5000 0.0000
0.5000 0.5000 0.5000
0.0000 0.0000 0.7590
0.0000 0.0000 0.2410


PBE-GGA CeNd5Y12, optimized geometry; SG = No. 65; ΔH_f (0 K) = 0.034 eV per atom
1.0
-3.2550 -8.4282 12.3294
1.1491 -10.4192 2.6494
4.6291 0.9941 1.9013
Y Nd Ce
12 5 1
direct
0.3320 0.9999 0.0000
0.5008 0.3330 0.5000
0.8338 0.6671 0.5000
0.6680 0.0001 0.0000
0.0006 0.3324 0.0000
0.6671 0.3323 0.0000
0.4992 0.6670 0.5000
0.8345 0.0000 0.5000
0.1655 0.0000 0.5000
0.3329 0.6677 0.0000
0.1662 0.3329 0.5000
0.9994 0.6676 0.0000
0.5000 0.0000 0.5000
0.6665 0.6670 0.0000
0.8359 0.3283 0.5000
0.1641 0.6717 0.5000
0.3335 0.3330 0.0000
0.0000 0.0000 0.0000